# 1
Ta2CuTe PBEsol relaxed; raw formation energy = 0.5654 eV/atom; spin magnetization = 0.00 μB/f.u.; symmetry = F-43m (216)
1.0
4.621 0.000 0.000
2.311 4.002 0.000
2.311 1.334 3.773
Ta Te Cu
2 1 1
direct
0.750 0.750 0.750
0.000 0.000 0.000
0.250 0.250 0.250
0.500 0.500 0.500

# 2
AlGe3Pt PBEsol relaxed; E_form = 0.8298 eV per atom; spin magnetization = 0.00 μB/f.u.; symmetry = Pm-3m (221)
1.0
-4.071 -0.465 -2.262
-1.864 -2.043 3.776
-1.363 4.185 1.592
Al Ge Pt
1 3 1
direct
0.000 0.000 0.000
0.000 0.000 0.500
0.500 0.000 0.000
0.000 0.500 0.000
0.500 0.500 0.500

# 3
CeCo2B2C PBEsol relaxed; E_form = -0.4881 eV per atom; spin magnetization = 0.00 μB/f.u.; symmetry = I4/mmm (139)
1.0
-2.405 0.758 2.548
-2.579 0.168 -2.484
1.598 -5.316 0.567
Co Ce B C
2 1 2 1
direct
0.250 0.750 0.500
0.750 0.250 0.500
0.500 0.500 0.000
0.847 0.847 0.695
0.153 0.153 0.305
0.000 0.000 0.000

# 4
K3MgIr PBEsol relaxed; E_form = 0.8733 eV per atom; spin magnetization = 0.31 μB/f.u.; symmetry = Pm-3m (221)
1.0
-1.007 -2.292 5.490
-4.875 -2.872 -2.094
3.409 -4.785 -1.373
Ir K Mg
1 3 1
direct
0.000 0.000 0.000
0.500 0.000 0.000
0.000 0.500 0.000
0.000 0.000 0.500
0.500 0.500 0.500

# 5
TaRhW2 PBEsol relaxed; E_form = 0.0716 eV per atom; spin magnetization = 0.00 μB/f.u.; symmetry = Pmm2 (25)
1.0
2.748 0.000 0.000
0.000 3.859 0.000
0.000 0.000 5.931
Rh Ta W
1 1 2
direct
0.000 0.000 0.498
0.500 0.500 0.739
0.500 0.500 0.255
0.000 0.000 0.008

# 6
Li2CaTa2O7 PBEsol relaxed; raw formation energy = -2.7940 eV/atom; spin magnetization = 0.00 μB/f.u.; symmetry = I4/mmm (139)
1.0
-2.997 2.407 -0.781
-2.048 -3.018 -1.443
-0.915 -1.301 9.349
O Ta Ca Li
7 2 1 2
direct
0.399 0.899 0.799
0.500 0.500 0.000
0.899 0.399 0.799
0.717 0.717 0.434
0.283 0.283 0.566
0.101 0.601 0.201
0.601 0.101 0.201
0.613 0.613 0.226
0.387 0.387 0.774
0.000 0.000 0.000
0.750 0.250 0.500
0.250 0.750 0.500

# 7
P2BrCl PBEsol relaxed; raw formation energy = 0.8806 eV/atom; spin magnetization = 0.00 μB/f.u.; symmetry = I4/mmm (139)
1.0
4.266 0.000 0.000
0.000 4.266 0.000
-2.133 -2.133 3.916
P Br Cl
2 1 1
direct
0.250 0.750 0.500
0.750 0.250 0.500
0.500 0.500 0.000
0.000 0.000 0.000

# 8
Zr2ZnP PBEsol relaxed; E_form = -0.3280 eV per atom; spin magnetization = 0.00 μB/f.u.; symmetry = Cmm2 (35)
1.0
-0.705 -1.998 2.392
2.869 1.148 0.813
-3.213 5.468 3.619
P Zn Zr
1 1 2
direct
0.000 0.000 0.481
0.500 0.500 0.287
0.500 0.500 0.702
0.000 0.000 0.029